# 1
First-principles (PBE-GGA) data for a relaxed structure of AlCd2Te, as listed in Alexandria via LeMat-Bulk.

Unit cell a=3.954 b=3.048 c=8.235 alpha=90.00 beta=90.00 gamma=90.00
Fractional positions:
Al: 0.500 0.750 0.750
Cd: 0.000 0.249 0.964
Cd: 0.000 0.251 0.536
Te: 0.500 0.250 0.250

* energy relative to the elements, uncorrected: 0.290 eV per formula unit
* ΔE to the lowest computed polymorph: 0.385 eV/f.u.
* symmetry: Pmmm
* D(E_F): 1.94 states/eV/f.u.


# 2
First-principles (PBE-GGA) data for a relaxed structure of Ba2PaP3, as listed in Alexandria via LeMat-Bulk.

Unit cell a=7.556 b=7.556 c=7.760 alpha=99.38 beta=99.38 gamma=119.97
Fractional positions:
P: 0.891 0.597 0.794
P: 0.638 0.971 0.796
P: 0.776 0.736 0.206
P: 0.403 0.109 0.206
P: 0.264 0.224 0.794
P: 0.029 0.362 0.204
Ba: 0.833 0.167 0.500
Ba: 0.333 0.667 0.000
Ba: 0.494 0.506 0.500
Ba: 0.173 0.827 0.500
Pa: 0.666 0.334 0.000
Pa: 0.001 0.999 0.000

* symmetry: C2/m
* calculated formation energy: -1.133 eV/atom